[1]
The following is a DFT calculation (PBE-GGA) of Ca2YPbO6 after structural relaxation.

a b c (Å): 5.8356 6.0703 8.1968
angles (deg): 90.00 90.56 90.00
With the nearest neighbours (Å) after each atom.
Positions (direct):
Ca (0.0189, 0.9429, 0.2506)  5 O 2.35-2.62
Ca (0.5189, 0.5571, 0.7506)  5 O 2.35-2.62
Ca (0.9811, 0.0571, 0.7494)  5 O 2.35-2.62
Ca (0.4811, 0.4429, 0.2494)  5 O 2.35-2.62
Y (0.5000, 0.0000, 0.0000)  6 O 2.26-2.28
Y (0.0000, 0.5000, 0.5000)  6 O 2.26-2.28
Pb (0.5000, 0.0000, 0.5000)  6 O 2.20-2.22
Pb (0.0000, 0.5000, 0.0000)  6 O 2.20-2.22
O (0.2985, 0.6987, 0.0729)  1 Pb 2.20, 1 Y 2.26, 1 Ca 2.37
O (0.7985, 0.8013, 0.5729)  1 Pb 2.20, 1 Y 2.26, 1 Ca 2.37
O (0.7015, 0.3013, 0.9271)  1 Pb 2.20, 1 Y 2.26, 1 Ca 2.37
O (0.2015, 0.1987, 0.4271)  1 Pb 2.20, 1 Y 2.26, 1 Ca 2.37
O (0.3059, 0.7046, 0.4235)  1 Pb 2.21, 1 Y 2.27, 1 Ca 2.37
O (0.8059, 0.7954, 0.9235)  1 Pb 2.21, 1 Y 2.27, 1 Ca 2.37
O (0.6941, 0.2954, 0.5765)  1 Pb 2.21, 1 Y 2.27, 1 Ca 2.37
O (0.1941, 0.2046, 0.0765)  1 Pb 2.21, 1 Y 2.27, 1 Ca 2.37
O (0.8603, 0.5711, 0.2448)  1 Pb 2.22, 1 Y 2.28, 2 Ca 2.35-2.44
O (0.3603, 0.9289, 0.7448)  1 Pb 2.22, 1 Y 2.28, 2 Ca 2.35-2.44
O (0.1397, 0.4289, 0.7552)  1 Pb 2.22, 1 Y 2.28, 2 Ca 2.35-2.44
O (0.6397, 0.0711, 0.2552)  1 Pb 2.22, 1 Y 2.28, 2 Ca 2.35-2.44

Calculated values
As for the volume: 14.52 Å³ per atom. As for the space-group type: No. 14. Its density of states at the Fermi level is 0.63 states/eV per atom. The value obtained for the energy relative to the elements, uncorrected is -2252 meV per atom.

[2]
The following is a DFT calculation (PBE-GGA) of TbPm4Nd2Dy2 after structural relaxation.

a b c (Å): 5.1309 8.1121 8.0832
angles (deg): 107.58 90.00 108.44
With the nearest neighbours (Å) after each atom.
Positions (direct):
Tb (0.0000, 0.0000, 0.0000)  6 Pm 3.60-3.61, 2 Nd 3.61, 4 Dy 3.63
Pm (0.7784, 0.5568, 0.6693)  1 Tb 3.60, 3 Dy 3.61, 5 Pm 3.62-3.65, 3 Nd 3.63-3.64
Pm (0.2216, 0.4432, 0.3307)  1 Tb 3.60, 3 Dy 3.61, 5 Pm 3.62-3.65, 3 Nd 3.63-3.64
Pm (0.5554, 0.1108, 0.3310)  2 Dy 3.61, 2 Tb 3.61, 4 Pm 3.62-3.65, 4 Nd 3.63-3.64
Pm (0.4446, 0.8892, 0.6690)  2 Dy 3.61, 2 Tb 3.61, 4 Pm 3.62-3.65, 4 Nd 3.63-3.64
Nd (0.8884, 0.7767, 0.3311)  3 Dy 3.60-3.61, 1 Tb 3.61, 7 Pm 3.63-3.64, 1 Nd 3.65
Nd (0.1116, 0.2233, 0.6689)  3 Dy 3.60-3.61, 1 Tb 3.61, 7 Pm 3.63-3.64, 1 Nd 3.65
Dy (0.3334, 0.6667, 0.0000)  3 Nd 3.60-3.61, 5 Pm 3.61, 2 Tb 3.63, 2 Dy 3.63
Dy (0.6666, 0.3333, 0.0000)  3 Nd 3.60-3.61, 5 Pm 3.61, 2 Tb 3.63, 2 Dy 3.63

Calculated values
As for the volume: 33.62 Å³ per atom. The calculation puts the formation energy at 0.017 eV/atom. As for the space-group type: No. 12. Its density of states at the Fermi level is 1.56 states/eV per atom.